Below is a relaxed VPdF3 crystal, with properties calculated at the GGA+U level.

Final energy (eV per cell): -21.88
SG: Pm-3m, No. 221
N(E_F) (states/eV/cell): 9.631
Total magnetic moment (μB/f.u.): 3.56

a b c (Å): 4.2941 4.2941 4.2941
angles (deg): 90.00 90.00 90.00
Each line ends with the local moment (μB).
Fractional positions:
F  0.5000  0.0000  0.0000  0.00
F  0.0000  0.5000  0.0000  0.00
Pd  0.0000  0.0000  0.0000  -0.09
V  0.5000  0.5000  0.5000  3.19
F  0.0000  0.0000  0.5000  0.00